Entry 1:
An optimized crystal structure of NaSr2Sn4Ir3. Source: Alexandria via LeMat-Bulk, functional PBE.

Computed properties:
energy of formation	-0.363	eV/atom
energy	-5.09	eV per atom

Structure (CIF):
```
data_NaSr2Sn4Ir3
_chemical_formula_sum 'Na1 Sr2 Sn4 Ir3'
_cell_length_a 4.7371
_cell_length_b 4.7371
_cell_length_c 10.6802
_cell_angle_alpha 90.00
_cell_angle_beta 90.00
_cell_angle_gamma 90.00
_space_group_name_H-M_alt 'P 1'
_space_group_IT_number 1
loop_
_space_group_symop_operation_xyz
'x,y,z'
loop_
_atom_site_label
_atom_site_type_symbol
_atom_site_fract_x
_atom_site_fract_y
_atom_site_fract_z
Na1 Na 0.0000 0.0000 0.0000
Sr1 Sr 0.0000 0.5000 0.7463
Sr2 Sr 0.5000 0.0000 0.2537
Sn1 Sn 0.0000 0.0000 0.5000
Sn2 Sn 0.0000 0.5000 0.1334
Sn3 Sn 0.5000 0.0000 0.8666
Sn4 Sn 0.5000 0.5000 0.5000
Ir1 Ir 0.0000 0.5000 0.3769
Ir2 Ir 0.5000 0.0000 0.6231
Ir3 Ir 0.5000 0.5000 0.0000
```



Entry 2:
An optimized crystal structure of CsLiMoRu2. Source: Alexandria via LeMat-Bulk, functional PBE.

Computed properties:
energy of formation	2.078	eV/atom
energy	-4.35	eV per atom

Structure (CIF):
```
data_CsLiMoRu2
_chemical_formula_sum 'Cs1 Li1 Mo1 Ru2'
_cell_length_a 4.5462
_cell_length_b 4.5462
_cell_length_c 4.7222
_cell_angle_alpha 90.00
_cell_angle_beta 90.00
_cell_angle_gamma 90.00
_space_group_name_H-M_alt 'P 1'
_space_group_IT_number 1
loop_
_space_group_symop_operation_xyz
'x,y,z'
loop_
_atom_site_label
_atom_site_type_symbol
_atom_site_fract_x
_atom_site_fract_y
_atom_site_fract_z
Cs1 Cs 0.0000 0.0000 0.0000
Li1 Li 0.0000 0.0000 0.5000
Mo1 Mo 0.5000 0.5000 0.0000
Ru1 Ru 0.0000 0.5000 0.5000
Ru2 Ru 0.5000 0.0000 0.5000
```



Entry 3:
An optimized crystal structure of LiAlCr2. Source: Alexandria via LeMat-Bulk, functional PBE.

Computed properties:
energy of formation	0.242	eV/atom
energy	-5.98	eV per atom

Structure (CIF):
```
data_LiAlCr2
_chemical_formula_sum 'Li1 Al1 Cr2'
_cell_length_a 4.8154
_cell_length_b 4.8154
_cell_length_c 2.4765
_cell_angle_alpha 90.00
_cell_angle_beta 90.00
_cell_angle_gamma 119.47
_space_group_name_H-M_alt 'P 1'
_space_group_IT_number 1
loop_
_space_group_symop_operation_xyz
'x,y,z'
loop_
_atom_site_label
_atom_site_type_symbol
_atom_site_fract_x
_atom_site_fract_y
_atom_site_fract_z
Li1 Li 0.0000 0.0000 0.0000
Al1 Al 0.5000 0.5000 0.0000
Cr1 Cr 0.0000 0.5000 0.5000
Cr2 Cr 0.5000 0.0000 0.5000
```



Entry 4:
An optimized crystal structure of Sr2Tc2P2C. Source: Alexandria via LeMat-Bulk, functional PBE.

Computed properties:
energy of formation	-0.677	eV/atom
energy	-6.98	eV per atom

Structure (CIF):
```
data_Sr2Tc2P2C
_chemical_formula_sum 'Sr2 Tc2 P2 C1'
_cell_length_a 6.0373
_cell_length_b 6.0373
_cell_length_c 7.2535
_cell_angle_alpha 121.30
_cell_angle_beta 121.30
_cell_angle_gamma 38.55
_space_group_name_H-M_alt 'P 1'
_space_group_IT_number 1
loop_
_space_group_symop_operation_xyz
'x,y,z'
loop_
_atom_site_label
_atom_site_type_symbol
_atom_site_fract_x
_atom_site_fract_y
_atom_site_fract_z
Sr1 Sr 0.0645 0.0645 0.3211
Sr2 Sr 0.9355 0.9355 0.6789
Tc1 Tc 0.3112 0.3112 0.9296
Tc2 Tc 0.6888 0.6888 0.0704
P1 P 0.3100 0.3100 0.2568
P2 P 0.6900 0.6900 0.7432
C1 C 0.5000 0.5000 0.0000
```



- Which value of energy of formation does entry 3 give?
  0.242 eV/atom



- What is the energy of formation in the fourth record?
  -0.677 eV/atom